Here is a geometry-optimized Zr2AlNi structure from Alexandria. Energies are from PBEsol.

Cell: 3.1880 3.1880 24.9128 Å, 90.00 90.00 120.00°
Space group R3m (No. 160, hexagonal axes)
Inequivalent atoms, fractional coordinates:
Zr: 0.0000 0.0000 0.0000
Zr: 0.0000 0.0000 0.2340
Al: 0.0000 0.0000 0.4727
Ni: 0.0000 0.0000 0.7415

## Properties
- final energy (eV/atom) = -7.184
- total magnetization (Bohr magnetons per cell) = 0.0
- Fermi-level density of states (states/eV/atom) = 1.079



Here is a geometry-optimized ZrAl2Ni structure from Alexandria. Energies are from PBEsol.

Cell: 5.472 8.472 2.773 Å, 90.00 94.11 90.00°
Space group C2/m (No. 12)
Inequivalent atoms, fractional coordinates:
Zr: 0.000 0.000 0.000
Al: 0.250 0.250 0.500
Ni: 0.000 0.500 0.000

## Properties
- final energy (eV/atom) = -6.045
- total magnetization (Bohr magnetons per cell) = 0.0
- Fermi-level density of states (states/eV/atom) = 0.832



Here is a geometry-optimized Zr2AlNi2 structure from Alexandria. Energies are from PBEsol.

Cell: 4.928 4.928 7.043 Å, 90.00 90.00 90.00°
Space group I4/mmm (No. 139)
Inequivalent atoms, fractional coordinates:
Zr: 0.000 0.500 0.250
Al: 0.000 0.000 0.000
Ni: 0.000 0.000 0.349

## Properties
- final energy (eV/atom) = -7.106
- total magnetization (Bohr magnetons per cell) = 0.0
- Fermi-level density of states (states/eV/atom) = 0.746



Here is a geometry-optimized ZrAl6Ni structure from Alexandria. Energies are from PBEsol.

Cell: 3.609 3.609 11.090 Å, 90.00 90.00 90.00°
Space group P4/mmm (No. 123)
Inequivalent atoms, fractional coordinates:
Zr: 0.000 0.000 0.000
Al: 0.000 0.500 0.202
Al: 0.500 0.500 0.388
Ni: 0.000 0.000 0.500

## Properties
- final energy (eV/atom) = -4.758
- total magnetization (Bohr magnetons per cell) = 0.0
- Fermi-level density of states (states/eV/atom) = 0.603



Here is a geometry-optimized Zr2AlNi structure from Alexandria. Energies are from PBEsol.

Cell: 3.002 3.002 7.640 Å, 90.00 90.00 90.00°
Space group P4/mmm (No. 123)
Inequivalent atoms, fractional coordinates:
Zr: 0.000 0.000 0.227
Al: 0.500 0.500 0.500
Ni: 0.500 0.500 0.000

## Properties
- final energy (eV/atom) = -7.501
- total magnetization (Bohr magnetons per cell) = 0.0
- Fermi-level density of states (states/eV/atom) = 1.038



Here is a geometry-optimized ZrAl2Ni structure from Alexandria. Energies are from PBEsol.

Cell: 4.0137 4.0137 9.0375 Å, 90.00 90.00 120.00°
Space group P6_3/mmc (No. 194)
Inequivalent atoms, fractional coordinates:
Zr: 0.3333 0.6667 0.2500
Al: 0.3333 0.6667 0.5744
Ni: 0.0000 0.0000 0.0000

## Properties
- final energy (eV/atom) = -6.391
- total magnetization (Bohr magnetons per cell) = 0.0
- Fermi-level density of states (states/eV/atom) = 0.097